Compound: BeInNiPt
Source: the Open Quantum Materials Database
Functional: PBE
Structure: optimized geometry

Output
As for the space-group type: No. 216. The calculation puts the energy above the most stable polymorph in this dataset at 0 meV per atom.

Unit cell a=4.2996 b=4.2996 c=4.2996 alpha=60.00 beta=60.00 gamma=60.00
Sites, in units of the cell vectors:
Be 0.0000 0.0000 0.0000
In 0.5000 0.5000 0.5000
Ni 0.7500 0.7500 0.7500
Pt 0.2500 0.2500 0.2500